[1]
# Ba3HoNb2O9

Crystalline Ba3HoNb2O9 at its relaxed geometry (PBE, Alexandria).

abc: 5.982 5.982 7.336
angles: 90.00 90.00 120.00
Atoms (fractional coordinates):
Ba  0.333  0.667  0.670
Ba  0.000  0.000  0.000
Ba  0.667  0.333  0.330
Ho  0.000  0.000  0.500
Nb  0.333  0.667  0.165
Nb  0.667  0.333  0.835
O  0.826  0.174  0.679
O  0.826  0.652  0.679
O  0.348  0.174  0.679
O  0.652  0.826  0.321
O  0.174  0.348  0.321
O  0.174  0.826  0.321
O  0.500  0.000  0.000
O  0.000  0.500  0.000
O  0.500  0.500  0.000

Output
The formation energy without anion corrections comes out at -2.947 eV/atom. As for the total DFT energy (no corrections): -7.954 eV/atom.


[2]
# BaNd2Ho

Crystalline BaNd2Ho at its relaxed geometry (PBE, Alexandria).

abc: 3.765 3.765 10.886
angles: 90.00 90.00 90.00
Atoms (fractional coordinates):
Nd  0.000  0.000  0.783
Nd  0.000  0.000  0.217
Ho  0.500  0.500  0.000
Ba  0.500  0.500  0.500

Output
As for the total DFT energy (no corrections): -3.894 eV/atom. As for the relative energy among the computed polymorphs: 0 meV per atom.


[3]
# BaNdHo

Crystalline BaNdHo at its relaxed geometry (PBE, Alexandria).

abc: 3.801 3.801 9.457
angles: 90.00 90.00 120.00
Atoms (fractional coordinates):
Nd  0.333  0.667  0.643
Ho  0.667  0.333  0.352
Ba  0.000  0.000  0.005

Output
As for the total DFT energy (no corrections): -3.580 eV/atom. As for the relative energy among the computed polymorphs: 12 meV per atom.


[4]
# BaNdHo2

Crystalline BaNdHo2 at its relaxed geometry (PBE, Alexandria).

abc: 3.632 3.632 13.087
angles: 82.02 82.02 60.00
Atoms (fractional coordinates):
Nd  0.500  0.500  0.500
Ho  0.093  0.093  0.721
Ho  0.907  0.907  0.279
Ba  0.000  0.000  0.000

Output
As for the total DFT energy (no corrections): -3.726 eV/atom. As for the relative energy among the computed polymorphs: 75 meV per atom.


[5]
# BaNdHo

Crystalline BaNdHo at its relaxed geometry (PBE, Alexandria).

abc: 3.814 3.814 8.707
angles: 102.65 102.65 90.00
Atoms (fractional coordinates):
Nd  0.682  0.682  0.365
Ho  0.319  0.319  0.638
Ba  0.999  0.999  0.998

Output
As for the total DFT energy (no corrections): -3.592 eV/atom. As for the relative energy among the computed polymorphs: 0 meV per atom.


[6]
# BaNdHo2

Crystalline BaNdHo2 at its relaxed geometry (PBE, Alexandria).

abc: 3.724 3.724 10.803
angles: 90.00 90.00 90.00
Atoms (fractional coordinates):
Nd  0.500  0.500  0.000
Ho  0.000  0.000  0.780
Ho  0.000  0.000  0.220
Ba  0.500  0.500  0.500

Output
As for the total DFT energy (no corrections): -3.801 eV/atom. As for the relative energy among the computed polymorphs: 0 meV per atom.


[7]
# BaNd2Ho

Crystalline BaNd2Ho at its relaxed geometry (PBE, Alexandria).

abc: 3.677 3.677 13.283
angles: 82.04 82.04 60.00
Atoms (fractional coordinates):
Nd  0.094  0.094  0.718
Nd  0.906  0.906  0.282
Ho  0.500  0.500  0.500
Ba  0.000  0.000  0.000

Output
As for the total DFT energy (no corrections): -3.814 eV/atom. As for the relative energy among the computed polymorphs: 80 meV per atom.


[8]
# BaNdHo4Se8

Crystalline BaNdHo4Se8 at its relaxed geometry (PBE, Alexandria).

abc: 8.575 8.575 8.685
angles: 60.42 60.42 60.00
Atoms (fractional coordinates):
Ba  0.372  0.372  0.884
Nd  0.002  0.002  0.994
Ho  0.626  0.626  0.123
Ho  0.001  0.496  0.502
Ho  0.496  0.001  0.502
Ho  0.001  0.001  0.502
Se  0.239  0.799  0.722
Se  0.799  0.239  0.722
Se  0.239  0.239  0.722
Se  0.231  0.231  0.306
Se  0.752  0.232  0.265
Se  0.232  0.752  0.265
Se  0.752  0.752  0.265
Se  0.757  0.757  0.728

Output
The formation energy without anion corrections comes out at -1.767 eV/atom. As for the total DFT energy (no corrections): -5.544 eV/atom.